1.
This record from Alexandria via LeMat-Bulk describes a relaxed structure of CsKSr. The functional is PBE.

The structure in POSCAR format:
```
CsKSr
1.0
4.5804 0.0000 0.0000
0.0000 4.5804 0.0000
-2.2902 -2.2902 10.7927
Sr K Cs
1 1 1
direct
0.3258 0.3258 0.6516 Sr
0.6786 0.6786 0.3572 K
0.9956 0.9956 0.9913 Cs
```

Calculated values
The value obtained for the formation energy is 124 meV per atom. The space-group type is No. 107.

2.
This record from Alexandria via LeMat-Bulk describes a relaxed structure of CsK2Sr. The functional is PBE.

The structure in POSCAR format:
```
CsK2Sr
1.0
-0.3269 -7.0883 -2.4267
-1.3325 -5.5650 4.8471
-6.5704 -3.6121 -0.1519
K Sr Cs
2 1 1
direct
0.7500 0.7500 0.7500 K
0.2500 0.2500 0.2500 K
0.0000 0.0000 0.0000 Sr
0.5000 0.5000 0.5000 Cs
```

Calculated values
The value obtained for the formation energy is 115 meV per atom. The space-group type is No. 225.